Record 1
Below is a relaxed CdAuBr crystal, with properties calculated at the GGA-PBE level.

Unit cell a=6.8452 b=6.8452 c=6.8452 alpha=90.00 beta=90.00 gamma=90.00
Last column: nearest neighbours and their distance in Å.
Space group F-43m (No. 216)
Symmetry-distinct sites (fractional):
Cd1 0.0000 0.0000 0.0000 (multiplicity 4)  4 Br 2.96, 4 Au 2.96
Au1 0.2500 0.2500 0.2500 (multiplicity 4)  4 Cd 2.96
Br1 0.2500 0.2500 0.7500 (multiplicity 4)  4 Cd 2.96

Spin magnetization ... 0.00 μB per cell
Energy relative to the elements, uncorrected ... 0.03 eV per atom
D(E_F) ... 3.2 states/eV per cell
Uncorrected energy ... -1.922 eV/atom

***

Record 2
Below is a relaxed CdAu2Br crystal, with properties calculated at the GGA-PBE level.

Unit cell a=3.7570 b=3.7570 c=6.1695 alpha=90.00 beta=90.00 gamma=90.00
Last column: nearest neighbours and their distance in Å.
Space group P4/mmm (No. 123)
Symmetry-distinct sites (fractional):
Cd1 0.0000 0.0000 0.0000 (multiplicity 1)  8 Au 2.99, 2 Br 3.08
Au1 0.5000 0.5000 0.2222 (multiplicity 2)  1 Au 2.74, 4 Cd 2.99
Br1 0.0000 0.0000 0.5000 (multiplicity 1)  2 Cd 3.08, 8 Au 3.16

Spin magnetization ... 0.00 μB per cell
Energy relative to the elements, uncorrected ... 0.09 eV per atom
D(E_F) ... 2.0 states/eV per cell
Uncorrected energy ... -2.194 eV/atom

***

Record 3
Below is a relaxed CdAu2Br crystal, with properties calculated at the GGA-PBE level.

Unit cell a=3.9091 b=3.9091 c=12.5756 alpha=90.00 beta=90.00 gamma=90.00
Last column: nearest neighbours and their distance in Å.
Space group I-4m2 (No. 119)
Symmetry-distinct sites (fractional):
Cd1 0.0000 0.0000 0.0000 (multiplicity 2)  4 Au 2.76
Au1 0.0000 0.0000 0.5000 (multiplicity 2)  4 Cd 2.76
Au2 0.0000 0.5000 0.7500 (multiplicity 2)  4 Br 2.76
Br1 0.0000 0.5000 0.2500 (multiplicity 2)  4 Au 2.76

Spin magnetization ... 0.00 μB per cell
Energy relative to the elements, uncorrected ... 0.14 eV per atom
D(E_F) ... 1.9 states/eV per cell
Uncorrected energy ... -2.144 eV/atom

***

Record 4
Below is a relaxed CdAu2Br crystal, with properties calculated at the GGA-PBE level.

Unit cell a=3.6313 b=3.5944 c=7.2565 alpha=90.00 beta=90.09 gamma=90.00
Last column: nearest neighbours and their distance in Å.
Space group Pm (No. 6)
Symmetry-distinct sites (fractional):
Cd1 0.0000 0.0000 0.0000 (multiplicity 1)  5 Au 2.79-2.96, 2 Br 2.81
Au1 0.4986 0.5000 0.7952 (multiplicity 1)  4 Au 2.87, 4 Cd 2.95-2.96
Au2 0.9979 0.0000 0.6155 (multiplicity 1)  1 Cd 2.79, 4 Au 2.87, 2 Br 2.93
Br1 0.9936 0.5000 0.2970 (multiplicity 1)  2 Cd 2.81, 2 Au 2.93

Spin magnetization ... 0.00 μB per cell
Energy relative to the elements, uncorrected ... -0.08 eV per atom
D(E_F) ... 0.8 states/eV per cell
Uncorrected energy ... -2.361 eV/atom

***

Record 5
Below is a relaxed CdAuBr4 crystal, with properties calculated at the GGA-PBE level.

Unit cell a=8.8616 b=8.8616 c=8.8616 alpha=90.00 beta=90.00 gamma=90.00
Last column: nearest neighbours and their distance in Å.
Space group F-43m (No. 216)
Symmetry-distinct sites (fractional):
Cd1 0.0000 0.0000 0.0000 (multiplicity 4)  12 Br 3.68, 4 Au 3.84
Au1 0.2500 0.2500 0.7500 (multiplicity 4)  12 Br 3.67, 4 Cd 3.84
Br1 0.1244 0.1244 0.3756 (multiplicity 16)  6 Br 3.12-3.15

Spin magnetization ... 3.88 μB per cell
Energy relative to the elements, uncorrected ... 0.70 eV per atom
D(E_F) ... 34.4 states/eV per cell
Uncorrected energy ... -1.117 eV/atom

***

Record 6
Below is a relaxed CdAuBr crystal, with properties calculated at the GGA-PBE level.

Unit cell a=3.8434 b=3.8434 c=5.8634 alpha=90.00 beta=90.00 gamma=120.00
Last column: nearest neighbours and their distance in Å.
Space group P3m1 (No. 156)
Symmetry-distinct sites (fractional):
Cd1 0.0000 0.0000 0.0000 (multiplicity 1)  3 Au 2.78, 3 Br 2.93
Au1 0.6667 0.3333 0.2849 (multiplicity 1)  3 Cd 2.78
Br1 0.3333 0.6667 0.6747 (multiplicity 1)  3 Cd 2.93, 3 Au 3.19

Spin magnetization ... 0.00 μB per cell
Energy relative to the elements, uncorrected ... -0.22 eV per atom
D(E_F) ... 0.2 states/eV per cell
Uncorrected energy ... -2.179 eV/atom

***

Record 7
Below is a relaxed CdAu3Br crystal, with properties calculated at the GGA-PBE level.

Unit cell a=5.2277 b=5.2277 c=5.2277 alpha=90.00 beta=90.00 gamma=90.00
Last column: nearest neighbours and their distance in Å.
Space group Pm-3m (No. 221)
Symmetry-distinct sites (fractional):
Cd1 0.0000 0.0000 0.0000 (multiplicity 1)  12 Au 3.70
Au1 0.0000 0.5000 0.5000 (multiplicity 3)  2 Br 2.61
Br1 0.5000 0.5000 0.5000 (multiplicity 1)  6 Au 2.61

Spin magnetization ... 0.00 μB per cell
Energy relative to the elements, uncorrected ... 0.76 eV per atom
D(E_F) ... 3.2 states/eV per cell
Uncorrected energy ... -1.724 eV/atom

***

Record 8
Below is a relaxed CdAu2Br crystal, with properties calculated at the GGA-PBE level.

Unit cell a=3.4213 b=6.1144 c=8.7355 alpha=90.00 beta=90.00 gamma=90.00
Last column: nearest neighbours and their distance in Å.
Space group Cmmm (No. 65)
Symmetry-distinct sites (fractional):
Cd1 0.0000 0.0000 0.0000 (multiplicity 2)  4 Au 2.74
Au1 0.0000 0.5000 0.2448 (multiplicity 4)  2 Cd 2.74, 2 Br 2.81
Br1 0.0000 0.0000 0.5000 (multiplicity 2)  4 Au 2.81

Spin magnetization ... 0.00 μB per cell
Energy relative to the elements, uncorrected ... 0.10 eV per atom
D(E_F) ... 2.0 states/eV per cell
Uncorrected energy ... -2.184 eV/atom